Density functional theory data (PBEsol) for a geometry-optimized BeZnIr2 structure.

relative energy among the computed polymorphs = 178 meV per atom
VASP energy = -6.432 eV per atom
total magnetization = 0.00 μB/cell
space-group type = Imm2 (44)

Cell: 2.8194 4.0871 4.9663 Å, 114.30 106.49 90.00°
Last column: nearest neighbours and their distance in Å.
Positions (direct):
Be 0.2574 0.7574 0.5147  6 Ir 2.37-2.49, 2 Zn 2.47
Zn 0.5214 0.5214 0.0429  2 Be 2.47, 4 Ir 2.51
Ir 0.9782 0.9782 0.9564  2 Be 2.37, 4 Zn 2.51
Ir 0.7430 0.2430 0.4860  4 Be 2.49, 2 Ir 2.68, 2 Zn 2.78

---

Density functional theory data (PBEsol) for a geometry-optimized Be2ZnIr structure.

VASP energy = -4.621 eV per atom
total magnetization = 0.00 μB/cell
space-group type = I-42d (122)

Cell: 3.5755 3.5755 8.3621 Å, 102.34 102.34 90.00°
Last column: nearest neighbours and their distance in Å.
Positions (direct):
Be 0.3069 0.8750 0.2500  2 Be 2.21, 2 Ir 2.28, 2 Zn 2.46
Be 0.9431 0.3750 0.2500  2 Be 2.21, 2 Ir 2.28, 2 Zn 2.46
Be 0.1250 0.0569 0.7500  2 Be 2.21, 2 Ir 2.28, 2 Zn 2.46
Be 0.6250 0.6931 0.7500  2 Be 2.21, 2 Ir 2.28, 2 Zn 2.46
Zn 0.7500 0.2500 0.5000  4 Be 2.46, 4 Ir 2.53
Zn 0.5000 0.5000 0.0000  4 Be 2.46, 4 Ir 2.53
Ir 0.2500 0.7500 0.5000  4 Be 2.28, 4 Zn 2.53
Ir 0.0000 0.0000 0.0000  4 Be 2.28, 4 Zn 2.53

---

Density functional theory data (PBEsol) for a geometry-optimized ZrBeIr2 structure.

VASP energy = -8.160 eV per atom
total magnetization = 0.00 μB/cell
space-group type = R3m (160)

Cell: 2.7606 2.7606 8.9563 Å, 81.13 81.13 60.00°
Last column: nearest neighbours and their distance in Å.
Positions (direct):
Be 0.2600 0.2600 0.2200  3 Ir 2.37
Ir 0.9929 0.9929 0.0212  3 Be 2.37
Ir 0.7443 0.7443 0.7671  9 Ir 2.75-2.76, 3 Zr 2.90
Zr 0.5028 0.5028 0.4917  6 Zr 2.76, 3 Be 2.88, 3 Ir 2.90

---

Density functional theory data (PBEsol) for a geometry-optimized ZrBe2Ir structure.

relative energy among the computed polymorphs = 27 meV per atom
VASP energy = -7.210 eV per atom
total magnetization = 0.00 μB/cell
space-group type = R-3m (166)

Cell: 3.7814 3.7814 4.8677 Å, 67.14 67.14 60.00°
Last column: nearest neighbours and their distance in Å.
Positions (direct):
Be 0.7073 0.7073 0.8782  3 Ir 2.25, 3 Be 2.43
Be 0.2927 0.2927 0.1218  3 Ir 2.25, 3 Be 2.43
Ir 0.0000 0.0000 0.0000  6 Be 2.25
Zr 0.5000 0.5000 0.5000  8 Be 2.71-2.73

---

Density functional theory data (PBEsol) for a geometry-optimized ZrBe2Ir structure.

relative energy among the computed polymorphs = 0 meV per atom
VASP energy = -7.237 eV per atom
total magnetization = 0.00 μB/cell
space-group type = Fm-3m (225)

Cell: 4.1352 4.1352 4.1352 Å, 60.00 60.00 60.00°
Last column: nearest neighbours and their distance in Å.
Positions (direct):
Be 0.2500 0.2500 0.2500  4 Zr 2.53, 4 Ir 2.53
Be 0.7500 0.7500 0.7500  4 Zr 2.53, 4 Ir 2.53
Ir 0.0000 0.0000 0.0000  8 Be 2.53
Zr 0.5000 0.5000 0.5000  8 Be 2.53

---

Density functional theory data (PBEsol) for a geometry-optimized ZrBe2Ir structure.

relative energy among the computed polymorphs = 59 meV per atom
VASP energy = -7.178 eV per atom
total magnetization = 0.00 μB/cell
space-group type = Amm2 (38)

Cell: 2.9804 3.6441 4.8834 Å, 90.00 107.77 90.00°
Last column: nearest neighbours and their distance in Å.
Positions (direct):
Be 0.7973 0.0000 0.5946  2 Be 2.11, 2 Ir 2.34
Be 0.6832 0.5000 0.3663  2 Be 2.11
Ir 0.1035 0.0000 0.2069  6 Be 2.34-2.47
Zr 0.4147 0.5000 0.8295  7 Be 2.50-2.62

---

Density functional theory data (PBEsol) for a geometry-optimized ZrBe2Ir structure.

relative energy among the computed polymorphs = 245 meV per atom
VASP energy = -6.992 eV per atom
total magnetization = 0.00 μB/cell
space-group type = Imm2 (44)

Cell: 3.6339 4.1552 4.5247 Å, 117.33 113.68 90.00°
Last column: nearest neighbours and their distance in Å.
Positions (direct):
Be 0.0277 0.0277 0.0554  2 Be 2.29
Be 0.7215 0.2215 0.4430  2 Be 2.29
Ir 0.4940 0.4940 0.9880  4 Zr 2.62-2.69, 8 Be 2.64-2.77
Zr 0.2568 0.7568 0.5136  4 Ir 2.62-2.69, 8 Be 2.65-2.77

---

Density functional theory data (PBEsol) for a geometry-optimized ZrBe2Ir structure.

relative energy among the computed polymorphs = 299 meV per atom
VASP energy = -6.939 eV per atom
total magnetization = 0.00 μB/cell
space-group type = P4/mmm (123)

Cell: 3.7342 3.7342 3.8873 Å, 90.00 90.00 90.00°
Last column: nearest neighbours and their distance in Å.
Positions (direct):
Be 0.0000 0.5000 0.0000  4 Be 2.64, 4 Zr 2.70, 4 Ir 2.70
Be 0.5000 0.0000 0.0000  4 Be 2.64, 4 Ir 2.70, 4 Zr 2.70
Ir 0.5000 0.5000 0.5000  4 Zr 2.64, 8 Be 2.70
Zr 0.0000 0.0000 0.5000  4 Ir 2.64, 8 Be 2.70

---

Density functional theory data (PBEsol) for a geometry-optimized ZrBe2Ir structure.

relative energy among the computed polymorphs = 367 meV per atom
VASP energy = -6.870 eV per atom
total magnetization = 0.00 μB/cell
space-group type = Cmmm (65)

Cell: 2.9966 4.1744 4.1744 Å, 99.85 90.00 90.00°
Last column: nearest neighbours and their distance in Å.
Positions (direct):
Be 0.0000 0.0000 0.5000  4 Ir 2.57, 4 Zr 2.57, 2 Be 2.69
Be 0.0000 0.5000 0.0000  4 Zr 2.57, 4 Ir 2.57, 2 Be 2.69
Ir 0.5000 0.5000 0.5000  8 Be 2.57, 2 Zr 2.69
Zr 0.5000 0.0000 0.0000  8 Be 2.57, 2 Ir 2.69

---

Density functional theory data (PBEsol) for a geometry-optimized ZrBeIr2 structure.

VASP energy = -8.815 eV per atom
total magnetization = 0.00 μB/cell
space-group type = P4/mmm (123)

Cell: 3.0243 3.0243 6.1849 Å, 90.00 90.00 90.00°
Last column: nearest neighbours and their distance in Å.
Positions (direct):
Be 0.5000 0.5000 0.5000  8 Ir 2.52
Ir 0.0000 0.0000 0.7154  4 Be 2.52, 1 Ir 2.66, 4 Zr 2.77
Ir 0.0000 0.0000 0.2846  4 Be 2.52, 1 Ir 2.66, 4 Zr 2.77
Zr 0.5000 0.5000 0.0000  8 Ir 2.77, 4 Zr 3.02, 2 Be 3.09

---

Density functional theory data (PBEsol) for a geometry-optimized KBe structure.

relative energy among the computed polymorphs = 500 meV per atom
VASP energy = -1.358 eV per atom
total magnetization = 0.00 μB/cell
space-group type = P4/mmm (123)

Cell: 3.5013 3.5013 4.7295 Å, 90.00 90.00 90.00°
Last column: nearest neighbours and their distance in Å.
Positions (direct):
Be 0.0000 0.0000 0.0000  8 K 3.42, 4 Be 3.50
K 0.5000 0.5000 0.5000  8 Be 3.42, 4 K 3.50

---

Density functional theory data (PBEsol) for a geometry-optimized KBe structure.

relative energy among the computed polymorphs = 0 meV per atom
VASP energy = -1.858 eV per atom
total magnetization = 0.21 μB/cell
space-group type = Cmcm (63)

Cell: 4.2027 5.7383 5.7504 Å, 119.93 90.00 90.00°
Last column: nearest neighbours and their distance in Å.
Positions (direct):
Be 0.2500 0.4998 0.9996  2 Be 2.10
Be 0.7500 0.5002 0.0004  2 Be 2.10
K 0.2500 0.1663 0.3327  3 Be 3.31-3.32
K 0.7500 0.8337 0.6673  3 Be 3.31-3.32

---

Density functional theory data (PBEsol) for a geometry-optimized KLaBe3 structure.

VASP energy = -2.063 eV per atom
total magnetization = 0.00 μB/cell
space-group type = Pm-3m (221)

Cell: 4.8952 4.8952 4.8952 Å, 90.00 90.00 90.00°
Last column: nearest neighbours and their distance in Å.
Positions (direct):
Be 0.0000 0.5000 0.0000  2 K 2.45
Be 0.0000 0.0000 0.5000  2 K 2.45
Be 0.5000 0.0000 0.0000  2 K 2.45
K 0.0000 0.0000 0.0000  6 Be 2.45
La 0.5000 0.5000 0.5000  12 Be 3.46

---

Density functional theory data (PBEsol) for a geometry-optimized KLa2Be structure.

VASP energy = -3.683 eV per atom
total magnetization = 0.00 μB/cell
space-group type = P4/mmm (123)

Cell: 3.6489 3.6517 10.4351 Å, 90.04 90.00 90.00°
Last column: nearest neighbours and their distance in Å.
Positions (direct):
Be 0.5000 0.5000 0.5000  8 La 3.00
K 0.5000 0.5000 0.0000  4 K 3.65
La 0.0000 0.0002 0.6466  4 Be 3.00, 1 La 3.06
La 0.0000 0.9998 0.3534  4 Be 3.00, 1 La 3.06

---

Density functional theory data (PBEsol) for a geometry-optimized K2LaBeP structure.

VASP energy = -3.070 eV per atom
total magnetization = 0.14 μB/cell
space-group type = P4/mmm (123)

Cell: 5.6079 5.9912 5.9912 Å, 90.00 90.00 90.00°
Last column: nearest neighbours and their distance in Å.
Positions (direct):
P 0.0000 0.0000 0.0000  2 La 2.80, 4 K 3.00
K 0.0000 0.0000 0.5000  2 P 3.00
K 0.0000 0.5000 0.0000  2 P 3.00
Be 0.5000 0.5000 0.5000  8 K 4.10, 4 La 4.24
La 0.5000 0.0000 0.0000  2 P 2.80

---

Density functional theory data (PBEsol) for a geometry-optimized KLiBe4 structure.

VASP energy = -2.529 eV per atom
total magnetization = 0.00 μB/cell
space-group type = F-43m (216)

Cell: 4.9171 4.9171 4.9171 Å, 60.00 60.00 60.00°
Last column: nearest neighbours and their distance in Å.
Positions (direct):
Be 0.3634 0.3634 0.3634  3 Be 2.23
Be 0.3634 0.3634 0.9098  3 Be 2.23
Be 0.9098 0.3634 0.3634  3 Be 2.23
Be 0.3634 0.9098 0.3634  3 Be 2.23
K 0.7500 0.7500 0.7500  12 Be 2.91, 4 Li 3.01
Li 0.0000 0.0000 0.0000  12 Be 2.86, 4 K 3.01

---

Density functional theory data (PBEsol) for a geometry-optimized KLiBeNi2 structure.

VASP energy = -1.861 eV per atom
total magnetization = 0.00 μB/cell
space-group type = P4/mmm (123)

Cell: 4.5431 4.5431 4.9742 Å, 90.00 90.00 90.00°
Last column: nearest neighbours and their distance in Å.
Positions (direct):
Ni 0.0000 0.5000 0.0000  2 K 2.27
Ni 0.5000 0.0000 0.0000  2 K 2.27
K 0.0000 0.0000 0.0000  4 Ni 2.27, 2 Be 2.49
Li 0.5000 0.5000 0.5000  4 Be 3.21, 8 Ni 3.37
Be 0.0000 0.0000 0.5000  2 K 2.49

---

Density functional theory data (PBEsol) for a geometry-optimized K2LiBeRe structure.

VASP energy = -2.875 eV per atom
total magnetization = 2.55 μB/cell
space-group type = P4/mmm (123)

Cell: 4.3720 6.3617 6.3617 Å, 90.00 90.00 90.00°
Last column: nearest neighbours and their distance in Å.
Positions (direct):
Re 0.0000 0.0000 0.0000  2 Be 2.19
K 0.0000 0.0000 0.5000  2 Re 3.18
K 0.0000 0.5000 0.0000  2 Re 3.18
Li 0.5000 0.5000 0.5000  8 K 3.86
Be 0.5000 0.0000 0.0000  2 Re 2.19

---

Density functional theory data (PBEsol) for a geometry-optimized K4MnBe structure.

VASP energy = -1.862 eV per atom
total magnetization = 4.24 μB/cell
space-group type = F-43m (216)

Cell: 7.1164 7.1164 7.1164 Å, 60.00 60.00 60.00°
Last column: nearest neighbours and their distance in Å.
Positions (direct):
Be 0.0000 0.0000 0.0000  12 K 4.17, 4 Mn 4.36
K 0.3746 0.3746 0.3746  6 K 3.55-3.57
K 0.3746 0.3746 0.8761  6 K 3.55-3.57
K 0.8761 0.3746 0.3746  6 K 3.55-3.57
K 0.3746 0.8761 0.3746  6 K 3.55-3.57
Mn 0.7500 0.7500 0.7500  12 K 4.17, 4 Be 4.36

---

Density functional theory data (PBEsol) for a geometry-optimized KMn2Be2 structure.

VASP energy = -3.139 eV per atom
total magnetization = 7.30 μB/cell
space-group type = P4/mmm (123)

Cell: 4.4848 4.4976 4.4976 Å, 90.00 90.00 90.00°
Last column: nearest neighbours and their distance in Å.
Positions (direct):
Be 0.0000 0.0000 0.5000  2 K 2.25
Be 0.0000 0.5000 0.0000  2 K 2.25
K 0.0000 0.0000 0.0000  2 Mn 2.24, 4 Be 2.25
Mn 0.5000 0.5000 0.5000  8 Be 3.18, 4 Mn 3.18
Mn 0.5000 0.0000 0.0000  2 K 2.24

---

no.,DFT formation energy (meV per atom)
1,-124.7
2,230.0
3,23.9
4,-481.7
5,-509.1
6,-450.1
7,-263.9
8,-210.4
9,-142.0
10,-630.5
11,1209.0
12,709.0
13,1633.4
14,273.8
15,410.6
16,654.1
17,2021.7
18,1438.3
19,1187.4
20,2592.2